1.
This record from the Alexandria database describes a geometry-optimized K2MgGeS4 structure. The functional is GGA-PBE.

Cell and atoms, written as extended XYZ:
```
16
Lattice="6.7792 0.0000 0.0000 0.0000 8.7245 0.0000 0.0000 0.0000 7.8430" Properties=species:S:1:pos:R:3 pbc="T T T"
K 6.5840 5.7630 5.9685
K 6.5840 5.7630 1.8745
K 3.1944 2.9615 2.0470
K 3.1944 2.9615 5.7960
S 2.9740 6.1544 2.0631
S 2.2308 1.0193 0.0000
S 6.3636 2.5701 1.8584
S 2.3901 0.6449 3.9215
S 5.6204 7.7052 3.9215
S 5.7797 8.0796 0.0000
S 6.3636 2.5701 5.9846
S 2.9740 6.1544 5.7798
Ge 0.0333 1.3097 0.0000
Ge 3.4229 7.4147 3.9215
Mg 3.3461 7.6109 0.0000
Mg 6.7356 1.1136 3.9215
```

raw formation energy = -976.2 meV/atom
N(E_F) = 0.000 states/eV per atom
calculated volume = 28.99 Å³/atom


2.
This record from the Alexandria database describes a geometry-optimized K2MgTaGe structure. The functional is GGA-PBE.

Cell and atoms, written as extended XYZ:
```
5
Lattice="6.4039 0.0000 0.0000 0.0000 4.9742 0.0000 0.0000 0.0000 6.4039" Properties=species:S:1:pos:R:3 pbc="T T T"
Mg 0.0000 2.4871 0.0000
K 0.0000 0.0000 3.2020
K 3.2020 0.0000 0.0000
Ge 0.0000 0.0000 0.0000
Ta 3.2020 2.4871 3.2020
```

ΔE_f = 1.350 eV per atom
N(E_F) = 1.930 states/eV per atom
calculated volume = 40.80 Å³/atom


3.
This record from the Alexandria database describes a geometry-optimized KMgGeTe4 structure. The functional is GGA-PBE.

Cell and atoms, written as extended XYZ:
```
14
Lattice="7.2623 0.0000 -0.0400 0.0000 7.1823 0.0000 -2.9010 0.0000 10.2438" Properties=species:S:1:pos:R:3 pbc="T T T"
Mg 4.2673 5.3867 3.2734
Mg 0.0940 1.7956 6.9304
Te -1.9343 3.7422 7.3664
Te -1.9343 7.0312 7.3664
Te 1.9465 1.7956 9.0719
Te 2.2837 5.3867 5.2982
Te 6.2956 0.1510 2.8374
Te 2.4148 5.3867 1.1319
Te 2.0776 1.7956 4.9056
Te 6.2956 3.4401 2.8374
K 1.3350 1.7956 0.4346
K 3.0264 5.3867 9.7692
Ge 3.6100 1.7956 7.0687
Ge 0.7513 5.3867 3.1351
```

raw formation energy = -449.1 meV/atom
N(E_F) = 0.124 states/eV per atom
calculated volume = 38.11 Å³/atom


4.
This record from the Alexandria database describes a geometry-optimized KMgVGe2 structure. The functional is GGA-PBE.

Cell and atoms, written as extended XYZ:
```
5
Lattice="-4.6143 0.4914 2.1132 -2.1160 -2.1377 -4.1234 0.4881 -4.6040 2.1364" Properties=species:S:1:pos:R:3 pbc="T T T"
Ge 0.2441 -2.3020 1.0682
Ge -2.3072 0.2457 1.0566
K -3.1211 -3.1252 0.0631
V -1.0580 -1.0688 -2.0617
Mg 0.0000 0.0000 0.0000
```

ΔE_f = 1.013 eV per atom
N(E_F) = 2.017 states/eV per atom
calculated volume = 26.54 Å³/atom


> Among the records above, which one has the highest calculated volume?

K2MgTaGe


> Among the records above, which one has the lowest N(E_F)?

K2MgGeS4